No. 1
Density functional theory data (PBE) for an optimized crystal structure of Al2CuAu.

Results
SG: R3m (160)
Calculated formation energy: -0.1242 eV per atom
Final energy: -15.36 eV/f.u.
D(E_F): 0.6 states/eV/cell

Lattice parameters (Å, degrees): 8.5446 8.5446 8.5446 19.88 19.88 19.88
Fractional positions:
Al 0.2489 0.2489 0.2489
Al 0.0047 0.0047 0.0047
Cu 0.7465 0.7465 0.7465
Au 0.4999 0.4999 0.4999

No. 2
Density functional theory data (PBE) for an optimized crystal structure of Al2CuAu.

Results
SG: R3m (160)
Calculated formation energy: -0.0822 eV per atom
Final energy: -15.19 eV/f.u.
D(E_F): 1.0 states/eV/cell

Lattice parameters (Å, degrees): 3.4042 3.4042 7.0384 76.01 76.01 60.00
Fractional positions:
Cu 0.5026 0.5026 0.4922
Au 0.6642 0.6642 0.0074
Al 0.0888 0.0888 0.7336
Al 0.2444 0.2444 0.2668

No. 3
Density functional theory data (PBE) for an optimized crystal structure of AlCu6Au.

Results
SG: P-6m2 (187)
Calculated formation energy: -0.1115 eV per atom
Final energy: -32.49 eV/f.u.
D(E_F): 0.6 states/eV/cell

Lattice parameters (Å, degrees): 4.3289 5.2878 5.2878 120.03 90.00 90.00
Fractional positions:
Cu 0.5000 0.9168 0.0832
Cu 0.5000 0.4164 0.0831
Cu 0.0000 0.5893 0.9289
Cu 0.5000 0.9169 0.5836
Cu 0.0000 0.5894 0.4106
Cu 0.0000 0.0711 0.4107
Al 0.0000 0.0832 0.9168
Au 0.5000 0.4167 0.5833

No. 4
Density functional theory data (PBE) for an optimized crystal structure of AlCuAu.

Results
SG: Ama2 (40)
Calculated formation energy: -0.2849 eV per atom
Final energy: -11.97 eV/f.u.
D(E_F): 0.8 states/eV/cell

Lattice parameters (Å, degrees): 4.5169 4.7885 4.7885 120.44 90.00 90.00
Fractional positions:
Au 0.7500 0.8631 0.7152
Au 0.2500 0.2848 0.1369
Cu 0.7500 0.2025 0.4084
Cu 0.2500 0.5916 0.7975
Al 0.7500 0.5441 0.0528
Al 0.2500 0.9472 0.4559

No. 5
Density functional theory data (PBE) for an optimized crystal structure of AlCuAu2.

Results
SG: F222 (22)
Calculated formation energy: -0.2452 eV per atom
Final energy: -15.37 eV/f.u.
D(E_F): 0.7 states/eV/cell

Lattice parameters (Å, degrees): 5.0041 5.0041 4.9967 134.43 134.41 66.56
Fractional positions:
Al 0.2500 0.7500 0.5000
Au 0.7501 0.2501 0.5000
Au 0.0002 0.0002 0.0000
Cu 0.4997 0.4997 0.0000

No. 6
Density functional theory data (PBE) for an optimized crystal structure of Al4Cu4Au3.

Results
SG: C2/m (12)
Calculated formation energy: -0.2600 eV per atom
Final energy: -44.05 eV/f.u.
D(E_F): 1.5 states/eV/cell

Lattice parameters (Å, degrees): 3.2582 3.2548 15.3490 96.08 96.08 90.03
Fractional positions:
Au 0.0000 0.0000 0.0000
Au 0.6414 0.6406 0.2801
Au 0.3586 0.3594 0.7199
Cu 0.9082 0.9091 0.8196
Cu 0.0918 0.0909 0.1804
Cu 0.2707 0.2707 0.5400
Cu 0.7293 0.7293 0.4600
Al 0.1872 0.1867 0.3735
Al 0.4481 0.4489 0.8986
Al 0.8127 0.8133 0.6265
Al 0.5518 0.5511 0.1014

No. 7
Density functional theory data (PBE) for an optimized crystal structure of Al2Cu8Au.

Results
SG: C2/m (12)
Calculated formation energy: -0.0240 eV per atom
Final energy: -43.80 eV/f.u.
D(E_F): 3.3 states/eV/cell

Lattice parameters (Å, degrees): 4.4650 6.7772 7.2731 62.23 72.41 49.57
Fractional positions:
Cu 0.7610 0.4918 0.0000
Cu 0.7569 0.1002 0.2733
Cu 0.2431 0.6265 0.2733
Cu 0.2390 0.5082 0.0000
Cu 0.5000 0.7999 0.4002
Cu 0.2431 0.8998 0.7267
Cu 0.5000 0.2001 0.5998
Cu 0.7569 0.3735 0.7267
Al 0.0000 0.6830 0.6340
Al 0.0000 0.3170 0.3660
Au 0.5000 0.0000 0.0000

No. 8
Density functional theory data (PBE) for an optimized crystal structure of AlCu2Au5.

Results
SG: Pbam (55)
Calculated formation energy: -0.1533 eV per atom
Final energy: -29.55 eV/f.u.
D(E_F): 3.7 states/eV/cell

Lattice parameters (Å, degrees): 4.1983 5.5713 11.0851 90.00 90.00 90.00
Fractional positions:
Au 0.0000 0.5663 0.2350
Au 0.0000 0.0663 0.2650
Au 0.0000 0.4337 0.7650
Au 0.0000 0.5000 0.5000
Au 0.5000 0.7998 0.3910
Au 0.0000 0.0000 0.0000
Au 0.5000 0.7002 0.8910
Au 0.5000 0.2998 0.1090
Au 0.0000 0.9337 0.7350
Au 0.5000 0.2002 0.6090
Al 0.0000 0.0000 0.5000
Al 0.0000 0.5000 0.0000
Cu 0.5000 0.8094 0.1345
Cu 0.5000 0.3094 0.3655
Cu 0.5000 0.6906 0.6345
Cu 0.5000 0.1906 0.8655

No. 9
Density functional theory data (PBE) for an optimized crystal structure of AlCu4Au4.

Results
SG: I-42m (121)
Calculated formation energy: 0.0686 eV per atom
Final energy: -32.62 eV/f.u.
D(E_F): 2.4 states/eV/cell

Lattice parameters (Å, degrees): 5.1649 5.1649 6.7104 112.63 112.63 90.00
Fractional positions:
Au 0.9994 0.9994 0.6201
Au 0.0006 0.3793 0.3799
Au 0.3793 0.0006 0.3799
Au 0.6207 0.6207 0.6201
Al 0.0000 0.0000 0.0000
Cu 0.5000 0.0000 0.0000
Cu 0.0000 0.5000 0.0000
Cu 0.3992 0.3992 0.7984
Cu 0.6008 0.6008 0.2016

No. 10
Density functional theory data (PBE) for an optimized crystal structure of AlCu6Au.

Results
SG: R-3m (166)
Calculated formation energy: 0.2351 eV per atom
Final energy: -29.72 eV/f.u.
D(E_F): 2.8 states/eV/cell

Lattice parameters (Å, degrees): 4.9866 4.9866 4.9866 86.00 86.00 86.00
Fractional positions:
Cu 0.8365 0.4775 0.8365
Cu 0.1635 0.1635 0.5225
Cu 0.8365 0.8365 0.4775
Cu 0.4775 0.8365 0.8365
Cu 0.1635 0.5225 0.1635
Cu 0.5225 0.1635 0.1635
Au 0.0000 0.0000 0.0000
Al 0.5000 0.5000 0.5000

No. 11
Density functional theory data (PBE) for an optimized crystal structure of Al2CuAu4.

Results
SG: P2_1/m (11)
Calculated formation energy: -0.1711 eV per atom
Final energy: -25.89 eV/f.u.
D(E_F): 4.2 states/eV/cell

Lattice parameters (Å, degrees): 6.6523 5.4645 7.3854 90.00 116.86 90.00
Fractional positions:
Cu 0.7708 0.2500 0.7519
Cu 0.2292 0.7500 0.2481
Au 0.9550 0.2500 0.1532
Au 0.4409 0.9971 0.7759
Au 0.0044 0.2500 0.5518
Au 0.9956 0.7500 0.4482
Au 0.5591 0.0029 0.2241
Au 0.4409 0.5029 0.7759
Au 0.0450 0.7500 0.8468
Au 0.5591 0.4971 0.2241
Al 0.3693 0.2500 0.4307
Al 0.1967 0.2500 0.9567
Al 0.8033 0.7500 0.0433
Al 0.6307 0.7500 0.5693

No. 12
Density functional theory data (PBE) for an optimized crystal structure of Al2CuAu.

Results
SG: P4/mmm (123)
Calculated formation energy: -0.1791 eV per atom
Final energy: -15.58 eV/f.u.
D(E_F): 1.4 states/eV/cell

Lattice parameters (Å, degrees): 2.9101 2.9101 7.1661 90.00 90.00 90.01
Fractional positions:
Au 0.5000 0.5000 0.2500
Al 0.0000 0.0000 0.5236
Al 0.0000 0.0000 0.9764
Cu 0.5000 0.5000 0.7500

> final energy of number 6 (Al4Cu4Au3)?

-44.05 eV/f.u.